(1)
Material: CsGaAg2F6
Method: DFT, PBE-GGA
State: optimized geometry

Properties
space-group type: R-3, No. 148
magnetization: 0.0 μB/cell
formation energy (no corrections): -2.0326 eV per atom
final energy: -41.14 eV per cell

Unit cell a=6.254 b=6.254 c=6.254 alpha=61.71 beta=61.71 gamma=61.71
Fractional positions:
Ag1 0.220 0.220 0.220
Ag2 0.780 0.780 0.780
F1 0.145 0.662 0.967
F2 0.033 0.855 0.338
F3 0.967 0.145 0.662
F4 0.338 0.033 0.855
F5 0.855 0.338 0.033
F6 0.662 0.967 0.145
Cs1 0.500 0.500 0.500
Ga1 0.000 0.000 0.000

(2)
Material: Cs2Ga3AgF12
Method: DFT, PBE-GGA
State: optimized geometry

Properties
space-group type: R-3m, No. 166
magnetization: 0.1 μB/cell
formation energy (no corrections): -2.5612 eV per atom
final energy: -82.20 eV per cell

Unit cell a=7.575 b=7.575 c=7.575 alpha=59.35 beta=59.35 gamma=59.35
Each line ends with the local moment (μB).
Fractional positions:
F1 0.101 0.101 0.596  0.00
F2 0.293 0.910 0.293  0.00
F3 0.293 0.293 0.910  0.00
F4 0.899 0.899 0.404  0.00
F5 0.910 0.293 0.293  0.00
F6 0.596 0.101 0.101  0.00
F7 0.101 0.596 0.101  0.00
F8 0.899 0.404 0.899  0.00
F9 0.707 0.090 0.707  0.00
F10 0.404 0.899 0.899  0.00
F11 0.090 0.707 0.707  0.00
F12 0.707 0.707 0.090  0.00
Cs1 0.619 0.619 0.619  0.00
Cs2 0.381 0.381 0.381  0.00
Ga1 0.000 0.000 0.500  0.00
Ga2 0.000 0.500 0.000  0.00
Ga3 0.500 0.000 0.000  0.00
Ag1 0.000 0.000 0.000  0.11

(3)
Material: CsAg2GeF8
Method: DFT, PBE-GGA
State: optimized geometry

Properties
space-group type: P-1, No. 2
magnetization: 1.0 μB/cell
formation energy (no corrections): -1.9512 eV per atom
final energy: -49.56 eV per cell

Unit cell a=5.229 b=5.412 c=7.979 alpha=88.16 beta=77.52 gamma=102.16
Each line ends with the local moment (μB).
Fractional positions:
F1 0.413 0.694 0.470  0.14
F2 0.693 0.747 0.020  0.02
F3 0.902 0.188 0.843  0.00
F4 0.176 0.842 0.823  0.02
F5 0.307 0.253 0.980  0.02
F6 0.587 0.306 0.530  0.14
F7 0.824 0.158 0.177  0.02
F8 0.098 0.812 0.157  0.00
Ag1 0.625 0.489 0.269  0.28
Ag2 0.375 0.511 0.731  0.28
Cs1 0.000 0.000 0.500  0.00
Ge1 0.000 0.000 0.000  0.00

(4)
Material: CsAgH2F8
Method: DFT, PBE-GGA
State: optimized geometry

Properties
space-group type: P-1, No. 2
magnetization: 0.0 μB/cell
final energy: -42.25 eV per cell

Unit cell a=5.208 b=5.189 c=8.393 alpha=77.84 beta=78.02 gamma=65.59
Fractional positions:
F1 0.673 0.674 0.372
F2 0.770 0.770 0.061
F3 0.327 0.326 0.628
F4 0.233 0.755 0.168
F5 0.756 0.233 0.168
F6 0.244 0.767 0.832
F7 0.230 0.230 0.939
F8 0.767 0.245 0.832
Ag1 0.000 0.000 0.000
Cs1 0.000 0.000 0.500
H1 0.703 0.704 0.252
H2 0.297 0.296 0.748

(5)
Material: CsAgHF6
Method: DFT, PBE-GGA
State: optimized geometry

Properties
space-group type: P1, No. 1
magnetization: 0.9 μB/cell
final energy: -31.62 eV per cell

Unit cell a=5.952 b=5.118 c=6.365 alpha=86.34 beta=83.87 gamma=52.52
Each line ends with the local moment (μB).
Fractional positions:
Ag1 0.333 0.334 0.500  0.37
F1 0.922 0.474 0.437  0.16
F2 0.395 0.973 0.679  0.04
F3 0.169 0.594 0.763  0.04
F4 0.496 0.074 0.237  0.05
F5 0.744 0.196 0.562  0.16
F6 0.271 0.695 0.321  0.04
H1 0.832 0.335 0.500  0.00
Cs1 0.838 0.325 0.001  0.00

(6)
Material: CsHf2AgF
Method: DFT, PBE-GGA
State: optimized geometry

Properties
space-group type: P4/mmm, No. 123
magnetization: 0.0 μB/cell
formation energy (no corrections): 1.4031 eV per atom
final energy: -18.47 eV per cell

Unit cell a=5.454 b=4.697 c=5.454 alpha=90.00 beta=90.00 gamma=90.00
Fractional positions:
Cs1 0.000 0.000 0.000
Hf1 0.500 0.000 0.000
Hf2 0.000 0.000 0.500
F1 0.000 0.500 0.000
Ag1 0.500 0.500 0.500

(7)
Material: CsHfAgF6
Method: DFT, PBE-GGA
State: optimized geometry

Properties
space-group type: P-31c, No. 163
magnetization: 0.3 μB/cell
formation energy (no corrections): -3.0452 eV per atom
final energy: -104.59 eV per cell

Unit cell a=6.279 b=6.279 c=11.692 alpha=90.00 beta=90.00 gamma=120.00
Each line ends with the local moment (μB).
Fractional positions:
Cs1 0.000 0.000 0.500  0.00
Cs2 0.000 0.000 0.000  0.00
F1 0.059 0.414 0.652  0.00
F2 0.356 0.414 0.848  0.00
F3 0.644 0.586 0.152  0.00
F4 0.586 0.644 0.652  0.00
F5 0.586 0.941 0.848  0.00
F6 0.644 0.059 0.348  0.00
F7 0.356 0.941 0.652  0.00
F8 0.941 0.356 0.152  0.00
F9 0.941 0.586 0.348  0.00
F10 0.414 0.059 0.152  0.00
F11 0.059 0.644 0.848  0.00
F12 0.414 0.356 0.348  0.00
Ag1 0.333 0.667 0.250  0.11
Ag2 0.667 0.333 0.750  0.11
Hf1 0.667 0.333 0.250  0.00
Hf2 0.333 0.667 0.750  0.00

(8)
Material: CsHfAg2F8
Method: DFT, PBE-GGA
State: optimized geometry

Properties
space-group type: C2/m, No. 12
magnetization: 1.1 μB/cell
formation energy (no corrections): -2.5265 eV per atom
final energy: -61.80 eV per cell

Unit cell a=5.552 b=5.552 c=8.479 alpha=76.19 beta=76.19 gamma=77.27
Each line ends with the local moment (μB).
Fractional positions:
Ag1 0.550 0.550 0.279  0.32
Ag2 0.450 0.450 0.721  0.32
F1 0.224 0.823 0.823  0.01
F2 0.242 0.242 0.953  0.03
F3 0.776 0.177 0.177  0.01
F4 0.653 0.653 0.496  0.14
F5 0.347 0.347 0.504  0.14
F6 0.177 0.776 0.177  0.01
F7 0.758 0.758 0.047  0.03
F8 0.823 0.224 0.823  0.01
Hf1 0.000 0.000 0.000  0.01
Cs1 0.000 0.000 0.500  0.00

(9)
Material: Cs4Ag3HgF12
Method: DFT, PBE-GGA
State: optimized geometry

Properties
space-group type: Im-3m, No. 229
magnetization: 0.0 μB/cell
formation energy (no corrections): -1.9029 eV per atom
final energy: -72.78 eV per cell

Unit cell a=7.868 b=7.868 c=7.868 alpha=109.47 beta=109.47 gamma=109.47
Fractional positions:
F1 0.000 0.747 0.747
F2 0.747 0.000 0.747
F3 0.750 0.500 0.250
F4 0.747 0.747 0.000
F5 0.250 0.500 0.750
F6 0.253 0.253 0.000
F7 0.250 0.750 0.500
F8 0.500 0.750 0.250
F9 0.253 0.000 0.253
F10 0.500 0.250 0.750
F11 0.750 0.250 0.500
F12 0.000 0.253 0.253
Cs1 0.000 0.000 0.500
Cs2 0.500 0.500 0.500
Cs3 0.500 0.000 0.000
Cs4 0.000 0.500 0.000
Hg1 0.000 0.000 0.000
Ag1 0.000 0.500 0.500
Ag2 0.500 0.500 0.000
Ag3 0.500 0.000 0.500

(10)
Material: CsAg4Hg3F12
Method: DFT, PBE-GGA
State: optimized geometry

Properties
space-group type: Im-3, No. 204
magnetization: 0.0 μB/cell
formation energy (no corrections): -1.3811 eV per atom
final energy: -63.24 eV per cell

Unit cell a=7.700 b=7.700 c=7.700 alpha=109.47 beta=109.47 gamma=109.47
Fractional positions:
F1 0.141 0.320 0.821
F2 0.680 0.821 0.502
F3 0.320 0.821 0.141
F4 0.179 0.859 0.680
F5 0.320 0.179 0.498
F6 0.179 0.498 0.320
F7 0.821 0.502 0.680
F8 0.498 0.320 0.179
F9 0.502 0.680 0.821
F10 0.680 0.179 0.859
F11 0.821 0.141 0.320
F12 0.859 0.680 0.179
Ag1 0.500 0.000 0.000
Ag2 0.000 0.000 0.500
Ag3 0.500 0.500 0.500
Ag4 0.000 0.500 0.000
Hg1 0.500 0.500 0.000
Hg2 0.500 0.000 0.500
Hg3 0.000 0.500 0.500
Cs1 0.000 0.000 0.000

(11)
Material: Cs3Ag2HgF9
Method: DFT, PBE-GGA
State: optimized geometry

Properties
space-group type: P-3m1, No. 164
magnetization: 0.0 μB/cell
formation energy (no corrections): -1.9123 eV per atom
final energy: -54.09 eV per cell

Unit cell a=6.440 b=6.440 c=7.898 alpha=90.00 beta=90.00 gamma=120.00
Fractional positions:
F1 0.000 0.500 0.000
F2 0.663 0.831 0.329
F3 0.169 0.337 0.329
F4 0.169 0.831 0.329
F5 0.500 0.000 0.000
F6 0.337 0.169 0.671
F7 0.831 0.169 0.671
F8 0.831 0.663 0.671
F9 0.500 0.500 0.000
Ag1 0.667 0.333 0.840
Ag2 0.333 0.667 0.160
Cs1 0.667 0.333 0.333
Cs2 0.000 0.000 0.000
Cs3 0.333 0.667 0.667
Hg1 0.000 0.000 0.500

(12)
Material: CsAg2HgF
Method: DFT, PBE-GGA
State: optimized geometry

Properties
space-group type: P4/mmm, No. 123
magnetization: 0.0 μB/cell
formation energy (no corrections): -0.4390 eV per atom
final energy: -10.92 eV per cell

Unit cell a=5.313 b=5.732 c=5.313 alpha=90.00 beta=90.00 gamma=90.00
Fractional positions:
F1 0.000 0.500 0.000
Hg1 0.000 0.000 0.000
Cs1 0.500 0.500 0.500
Ag1 0.000 0.000 0.500
Ag2 0.500 0.000 0.000